(1)
Na6TlTe4 after structural relaxation, computed with PBE.

## Properties
- final energy (eV/atom) = -2.81

abc: 9.5724 9.5724 4.3089
angles: 90.00 90.00 120.00
Space group P-6m2 (No. 187)
Asymmetric unit:
Na 0.1971 0.3942 0.0000 x3
Na 0.5382 0.0764 0.5000 x3
Tl 0.0000 0.0000 0.5000 x1
Te 0.3333 0.6667 0.5000 x1
Te 0.3415 0.1708 0.0000 x3

=====

(2)
NaTl3Te after structural relaxation, computed with PBE.

## Properties
- final energy (eV/atom) = -2.15
- energy relative to the lowest polymorph listed for this composition (meV/atom) = 0.0

abc: 5.668 5.668 5.668
angles: 90.00 90.00 90.00
Space group Pm-3m (No. 221)
Asymmetric unit:
Na 0.000 0.000 0.000 x1
Tl 0.000 0.000 0.500 x3
Te 0.500 0.500 0.500 x1

=====

(3)
NaTlTe2 after structural relaxation, computed with PBE.

## Properties
- final energy (eV/atom) = -2.80

abc: 4.3866 4.3866 23.5330
angles: 90.00 90.00 120.00
Space group R3m (No. 160, hexagonal axes)
Asymmetric unit:
Na 0.0000 0.0000 0.0000 x3
Tl 0.0000 0.0000 0.1669 x3
Te 0.0000 0.0000 0.5775 x3
Te 0.0000 0.0000 0.7559 x3

=====

(4)
NaTl3Te2 after structural relaxation, computed with PBE.

## Properties
- final energy (eV/atom) = -2.87
- energy relative to the lowest polymorph listed for this composition (meV/atom) = 12.9

abc: 7.327 15.624 7.317
angles: 90.00 90.00 90.00
Space group Ibam (No. 72)
Asymmetric unit:
Na 0.000 0.000 0.250 x4
Tl 0.000 0.500 0.250 x4
Tl 0.249 0.169 0.000 x8
Te 0.219 0.130 0.500 x8

=====

(5)
NaTlTe2 after structural relaxation, computed with PBE.

## Properties
- final energy (eV/atom) = -2.82

abc: 4.3821 4.3821 23.3588
angles: 90.00 90.00 120.00
Space group R-3m (No. 166, hexagonal axes)
Asymmetric unit:
Na 0.0000 0.0000 0.0000 x3
Tl 0.0000 0.0000 0.5000 x3
Te 0.0000 0.0000 0.2445 x6

=====

(6)
Na2TlTe2 after structural relaxation, computed with PBE.

## Properties
- final energy (eV/atom) = -2.83
- energy relative to the lowest polymorph listed for this composition (meV/atom) = 10.8

abc: 9.442 9.442 3.419
angles: 90.00 90.00 90.00
Space group P4/mbm (No. 127)
Asymmetric unit:
Na 0.130 0.370 0.000 x4
Tl 0.000 0.000 0.500 x2
Te 0.167 0.667 0.500 x4

=====

Per-record formation energy from raw total energies, meV per atom: -735.0; 161.7; -311.1; -418.7; -324.3; -576.6